A geometry-optimized K2MnO3 structure, computed with GGA+U.

Lattice parameters (Å, degrees): 6.4460 6.4460 12.9410 90.00 90.00 125.88
With the nearest neighbours (Å) after each atom.
Atoms (fractional coordinates):
K 0.0612 0.9388 0.8614  5 O 2.78-2.99
K 0.1342 0.8658 0.4217  7 O 2.71-2.96
K 0.3658 0.6342 0.9217  7 O 2.71-2.96
K 0.4388 0.5612 0.3614  5 O 2.78-2.99
K 0.5612 0.4388 0.6386  5 O 2.78-2.99
K 0.6342 0.3658 0.0783  7 O 2.71-2.96
K 0.8658 0.1342 0.5783  7 O 2.71-2.96
K 0.9388 0.0612 0.1386  5 O 2.78-2.99
Mn 0.2425 0.7575 0.6632  4 O 1.75-1.87
Mn 0.2575 0.7425 0.1632  4 O 1.75-1.87
Mn 0.7425 0.2575 0.8368  4 O 1.75-1.87
Mn 0.7575 0.2425 0.3368  4 O 1.75-1.87
O 0.0201 0.4799 0.7500  2 Mn 1.87
O 0.0941 0.9059 0.6318  1 Mn 1.75
O 0.1625 0.8375 0.0570  1 Mn 1.75
O 0.3375 0.6625 0.5570  1 Mn 1.75
O 0.4059 0.5941 0.1318  1 Mn 1.75
O 0.4799 0.0201 0.2500  2 Mn 1.87
O 0.5201 0.9799 0.7500  2 Mn 1.87
O 0.5941 0.4059 0.8682  1 Mn 1.75
O 0.6625 0.3375 0.4430  1 Mn 1.75
O 0.8375 0.1625 0.9430  1 Mn 1.75
O 0.9059 0.0941 0.3682  1 Mn 1.75
O 0.9799 0.5201 0.2500  2 Mn 1.87

Crystal system ... orthorhombic
Raw total energy ... -5.553 eV/atom